Nd2GaGePt6, optimized geometry, DFT PBE; symmetry = C2/m; formation enthalpy at 0 K = -8.19 eV/f.u.; total magnetic moment = 0.00 μB per cell; density of states at the Fermi level = 3.171 states/eV/cell
1.0
8.490 -0.147 0.131
0.095 5.495 0.040
4.098 2.646 4.457
Pt Ge Ga Nd
6 1 1 2
Cartesian
6.231 3.985 4.453
9.723 5.310 2.386
6.279 6.730 4.471
6.404 1.264 0.157
6.452 4.009 0.175
2.960 2.684 2.242
0.000 0.000 0.000
4.292 2.674 0.085
8.109 2.591 2.378
4.574 5.403 2.250